Record 1
A plane-wave DFT calculation with PBE-GGA was carried out for Ni12Ge6Pt after structural relaxation.

Summary:
calculated volume = 13.3 Å³ per atom
E_tot = -312.86 eV/cell

abc: 10.7034 10.7034 7.6660
angles: 90.00 90.00 120.00
Space group R-3m (No. 166, hexagonal axes)
Asymmetric unit:
Ni 0.0000 0.3820 0.0000 (multiplicity 18)
Ni 0.0814 0.1628 0.8042 (multiplicity 18)
Ge 0.0441 0.5220 0.7493 (multiplicity 18)
Pt 0.0000 0.0000 0.5000 (multiplicity 3)

***

Record 2
A plane-wave DFT calculation with PBE-GGA was carried out for Ni2GePt2 after structural relaxation.

Summary:
calculated volume = 14.7 Å³ per atom
energy relative to the lowest polymorph listed for this composition = 0.0503 eV per atom
E_tot = -56.83 eV/cell

abc: 4.1799 4.1799 9.6924
angles: 90.00 90.00 120.00
Space group P6_3/mmc (No. 194)
Asymmetric unit:
Ni 0.3333 0.6667 0.1067 (multiplicity 4)
Ge 0.0000 0.0000 0.2500 (multiplicity 2)
Pt 0.0000 0.0000 0.0000 (multiplicity 2)
Pt 0.3333 0.6667 0.7500 (multiplicity 2)